1.
Na5B6C4 after structural relaxation. Source: Alexandria, functional PBE.

Cell and atoms, written as extended XYZ:
```
30
Lattice="8.490 0.000 0.000 0.000 7.102 2.489 0.000 -7.102 2.489" Properties=species:S:1:pos:R:3 pbc="T T T"
Na 2.105 -5.683 2.489
Na 2.104 -2.847 2.484
Na 2.104 2.847 2.484
Na 2.105 5.683 2.489
Na 2.118 0.000 2.484
Na 6.371 0.000 2.484
Na 6.385 -5.683 2.489
Na 6.385 -2.847 2.484
Na 6.385 2.847 2.484
Na 6.385 5.683 2.489
B 0.000 0.000 0.830
B 0.000 -4.261 3.320
B 0.000 -1.419 3.320
B 0.000 1.419 3.320
B 0.000 4.261 3.320
B 4.245 -4.201 1.705
B 4.245 -1.432 1.598
B 4.245 1.432 1.598
B 4.245 -1.424 3.290
B 4.245 4.201 1.705
B 4.245 1.424 3.290
B 4.245 0.000 4.255
C 0.000 -4.262 1.658
C 0.000 -1.420 1.658
C 0.000 1.420 1.658
C 0.000 4.262 1.658
C 0.000 0.000 4.147
C 4.245 0.000 0.817
C 4.245 -4.260 3.309
C 4.245 4.260 3.309
```

Results
- ΔH_f (0 K): 0.08 eV/atom
- Energy relative to the lowest polymorph listed for this composition: 26 meV per atom
- Total moment: 0.0 Bohr magnetons per cell

***

2.
Na2B3C after structural relaxation. Source: Alexandria, functional PBE.

Cell and atoms, written as extended XYZ:
```
30
Lattice="11.631 -1.412 0.000 11.631 1.412 0.000 -2.886 0.000 9.652" Properties=species:S:1:pos:R:3 pbc="T T T"
Na 0.000 0.000 0.000
Na 0.283 0.000 6.755
Na 3.430 0.000 3.840
Na 6.684 0.000 0.937
Na 7.046 0.000 7.722
Na 10.188 0.000 4.821
Na 13.344 0.000 1.904
Na 13.650 0.000 8.668
Na 16.868 0.000 5.776
Na 20.093 0.000 2.864
B -0.369 0.000 2.783
B 3.842 0.000 1.052
B 3.087 0.000 6.642
B 4.203 0.000 7.864
B 6.240 0.000 3.653
B 7.369 0.000 4.900
B 9.430 0.000 0.746
B 10.586 0.000 2.019
B 10.954 0.000 8.898
B 12.844 0.000 4.560
B 13.987 0.000 5.839
B 17.093 0.000 2.818
B 16.587 0.000 8.664
B 19.764 0.000 5.756
B 20.943 0.000 7.065
C 0.683 0.000 3.962
C -0.130 0.000 9.505
C 9.857 0.000 7.675
C 16.035 0.000 1.673
C 20.517 0.000 0.141
```

Results
- ΔH_f (0 K): 0.15 eV/atom
- Energy relative to the lowest polymorph listed for this composition: 17 meV per atom
- Total moment: 0.0 Bohr magnetons per cell

***

Q: Look up the energy relative to the lowest polymorph listed for this composition of the second one.
A: 17 meV per atom